*A*
DFT (GGA-PBE) results for a relaxed ZrSnBr2 crystal.

a b c (Å): 10.6468 10.6468 10.6468
angles (deg): 19.01 19.01 19.01
With the nearest neighbours (Å) after each atom.
Fractional coordinates of all 4 atoms:
Br  0.9176  0.9176  0.9176  1 Zr 2.58
Br  0.0824  0.0824  0.0824  1 Zr 2.58
Sn  0.5000  0.5000  0.5000  6 Br 3.33, 6 Sn 3.52
Zr  0.0000  0.0000  0.0000  2 Br 2.58

=====

*B*
DFT (GGA-PBE) results for a relaxed ZrSnBr2 crystal.

a b c (Å): 5.1011 5.1011 5.1011
angles (deg): 60.00 60.00 60.00
With the nearest neighbours (Å) after each atom.
Fractional coordinates of all 4 atoms:
Br  0.2500  0.2500  0.2500  4 Sn 3.12, 4 Zr 3.12
Br  0.7500  0.7500  0.7500  4 Zr 3.12, 4 Sn 3.12
Sn  0.5000  0.5000  0.5000  8 Br 3.12
Zr  0.0000  0.0000  0.0000  8 Br 3.12

=====

*C*
DFT (GGA-PBE) results for a relaxed ZrSnBr2 crystal.

a b c (Å): 11.7637 11.7637 11.7637
angles (deg): 16.72 16.72 16.72
With the nearest neighbours (Å) after each atom.
Fractional coordinates of all 4 atoms:
Br  0.8892  0.8892  0.8892  3 Zr 2.77
Br  0.1108  0.1108  0.1108  3 Zr 2.77
Sn  0.0000  0.0000  0.0000  6 Sn 3.42
Zr  0.5000  0.5000  0.5000  6 Br 2.77

=====

*D*
DFT (GGA-PBE) results for a relaxed ZrSnBr2 crystal.

a b c (Å): 9.3935 9.3935 7.2579
angles (deg): 49.67 49.67 90.00
With the nearest neighbours (Å) after each atom.
Fractional coordinates of all 8 atoms:
Br  0.4989  0.1250  0.2500  2 Zr 2.72
Br  0.2511  0.6250  0.2500  2 Zr 2.72
Br  0.3750  0.5011  0.7500  2 Zr 2.72
Br  0.8750  0.7489  0.7500  2 Zr 2.72
Sn  0.0000  0.0000  0.0000  2 Zr 2.93
Sn  0.7500  0.2500  0.5000  2 Zr 2.93
Zr  0.5000  0.5000  0.0000  4 Br 2.72, 2 Sn 2.93
Zr  0.2500  0.7500  0.5000  4 Br 2.72, 2 Sn 2.93

=====

*C* has the most favorable energy; the next structure is 363 meV per atom above.

=====

*A*
DFT (GGA-PBE) results for a relaxed ZrSnBr3 crystal.

a b c (Å): 5.3703 5.3703 5.3703
angles (deg): 90.00 90.00 90.00
With the nearest neighbours (Å) after each atom.
Fractional coordinates of all 5 atoms:
Br  0.0000  0.5000  0.0000  2 Zr 2.69
Br  0.0000  0.0000  0.5000  2 Zr 2.69
Br  0.5000  0.0000  0.0000  2 Zr 2.69
Sn  0.5000  0.5000  0.5000  12 Br 3.80
Zr  0.0000  0.0000  0.0000  6 Br 2.69

=====

*B*
DFT (GGA-PBE) results for a relaxed ZrSnBr3 crystal.

a b c (Å): 5.7271 5.7271 5.7271
angles (deg): 90.00 90.00 90.00
With the nearest neighbours (Å) after each atom.
Fractional coordinates of all 5 atoms:
Br  0.0000  0.5000  0.0000  2 Sn 2.86
Br  0.0000  0.0000  0.5000  2 Sn 2.86
Br  0.5000  0.0000  0.0000  2 Sn 2.86
Sn  0.0000  0.0000  0.0000  6 Br 2.86
Zr  0.5000  0.5000  0.5000  12 Br 4.05

=====

*A* has the most favorable energy; the next structure is 608 meV per atom above.

=====

*A*
DFT (GGA-PBE) results for a relaxed ZrSn3Br crystal.

a b c (Å): 5.6473 5.6473 5.6473
angles (deg): 90.00 90.00 90.00
With the nearest neighbours (Å) after each atom.
Fractional coordinates of all 5 atoms:
Br  0.5000  0.5000  0.5000  12 Sn 3.99
Sn  0.0000  0.5000  0.0000  2 Zr 2.82
Sn  0.0000  0.0000  0.5000  2 Zr 2.82
Sn  0.5000  0.0000  0.0000  2 Zr 2.82
Zr  0.0000  0.0000  0.0000  6 Sn 2.82

=====

*B*
DFT (GGA-PBE) results for a relaxed ZrSn3Br crystal.

a b c (Å): 5.3948 5.3948 5.3948
angles (deg): 90.00 90.00 90.00
With the nearest neighbours (Å) after each atom.
Fractional coordinates of all 5 atoms:
Br  0.0000  0.0000  0.0000  6 Sn 2.70
Sn  0.0000  0.5000  0.0000  2 Br 2.70
Sn  0.0000  0.0000  0.5000  2 Br 2.70
Sn  0.5000  0.0000  0.0000  2 Br 2.70
Zr  0.5000  0.5000  0.5000  12 Sn 3.81

=====

*A* has the most favorable energy; the next structure is 554 meV per atom above.

=====

*A*
DFT (GGA-PBE) results for a relaxed Sr3Br crystal.

a b c (Å): 9.5377 9.5377 4.2479
angles (deg): 90.00 90.00 101.34
With the nearest neighbours (Å) after each atom.
Fractional coordinates of all 8 atoms:
Sr  0.1172  0.8828  0.7500  10 Sr 4.06-4.47, 2 Br 4.53
Sr  0.8828  0.1172  0.2500  10 Sr 4.06-4.47, 2 Br 4.53
Sr  0.5723  0.8286  0.7500  2 Br 3.23
Sr  0.4277  0.1714  0.2500  2 Br 3.23
Sr  0.8286  0.5723  0.2500  2 Br 3.23
Sr  0.1714  0.4277  0.7500  2 Br 3.23
Br  0.6116  0.3884  0.7500  4 Sr 3.23
Br  0.3884  0.6116  0.2500  4 Sr 3.23

=====

*B*
DFT (GGA-PBE) results for a relaxed Sr3Br crystal.

a b c (Å): 6.7107 6.7107 4.2599
angles (deg): 90.00 90.00 90.00
With the nearest neighbours (Å) after each atom.
Fractional coordinates of all 4 atoms:
Sr  0.5000  0.0000  0.5000  6 Sr 3.97-4.26, 4 Br 3.97
Sr  0.5000  0.5000  0.0000  10 Sr 3.97-4.26
Sr  0.0000  0.5000  0.5000  4 Br 3.97, 6 Sr 3.97-4.26
Br  0.0000  0.0000  0.0000  8 Sr 3.97, 2 Br 4.26

=====

*A* has the most favorable energy; the next structure is 242 meV per atom above.

=====

*A*
DFT (GGA-PBE) results for a relaxed Sr4Br5 crystal.

a b c (Å): 7.9394 7.9394 7.9394
angles (deg): 97.16 97.16 138.66
With the nearest neighbours (Å) after each atom.
Fractional coordinates of all 9 atoms:
Sr  0.2918  0.0000  0.2918  3 Br 3.07-3.34
Sr  0.7082  0.0000  0.7082  3 Br 3.07-3.34
Sr  0.0000  0.7082  0.7082  3 Br 3.07-3.34
Sr  0.0000  0.2918  0.2918  3 Br 3.07-3.34
Br  0.0000  0.0000  0.0000  4 Sr 3.07
Br  0.3166  0.6834  0.0000  6 Sr 3.34-3.59, 2 Br 3.43
Br  0.6834  0.3166  0.0000  6 Sr 3.34-3.59, 2 Br 3.43
Br  0.6834  0.6834  0.3667  6 Sr 3.34-3.59, 2 Br 3.43
Br  0.3166  0.3166  0.6333  6 Sr 3.34-3.59, 2 Br 3.43

=====

*B*
DFT (GGA-PBE) results for a relaxed Sr4Br5 crystal.

a b c (Å): 9.0066 9.0066 8.8581
angles (deg): 90.00 90.00 120.00
With the nearest neighbours (Å) after each atom.
Fractional coordinates of all 18 atoms:
Sr  0.0000  0.0000  0.0000  6 Br 3.11
Sr  0.0000  0.0000  0.5000  6 Br 3.11
Sr  0.0000  0.4158  0.2500  3 Br 3.08-3.26
Sr  0.5842  0.5842  0.2500  3 Br 3.08-3.26
Sr  0.4158  0.0000  0.2500  3 Br 3.08-3.26
Sr  0.0000  0.5842  0.7500  3 Br 3.08-3.26
Sr  0.4158  0.4158  0.7500  3 Br 3.08-3.26
Sr  0.5842  0.0000  0.7500  3 Br 3.08-3.26
Br  0.0000  0.7577  0.2500  5 Sr 3.08-3.26
Br  0.2423  0.2423  0.2500  5 Sr 3.08-3.26
Br  0.7577  0.0000  0.2500  5 Sr 3.08-3.26
Br  0.0000  0.2423  0.7500  5 Sr 3.08-3.26
Br  0.7577  0.7577  0.7500  5 Sr 3.08-3.26
Br  0.2423  0.0000  0.7500  5 Sr 3.08-3.26
Br  0.6667  0.3333  0.0000  6 Sr 3.50
Br  0.3333  0.6667  0.5000  6 Sr 3.50
Br  0.3333  0.6667  0.0000  6 Sr 3.50
Br  0.6667  0.3333  0.5000  6 Sr 3.50

=====

*A* has the most favorable energy; the next structure is 122 meV per atom above.

=====

*A*
DFT (GGA-PBE) results for a relaxed Sr4Br3 crystal.

a b c (Å): 16.0905 16.0905 16.0905
angles (deg): 165.23 165.23 20.95
With the nearest neighbours (Å) after each atom.
Fractional coordinates of all 7 atoms:
Sr  0.8307  0.8307  0.0000  4 Br 3.20
Sr  0.1693  0.1693  0.0000  4 Br 3.20
Sr  0.5707  0.5707  0.0000  4 Br 3.68
Sr  0.4293  0.4293  0.0000  4 Br 3.68
Br  0.0000  0.0000  0.0000  8 Sr 3.68
Br  0.7106  0.7106  0.0000  4 Sr 3.20
Br  0.2894  0.2894  0.0000  4 Sr 3.20

=====

*B*
DFT (GGA-PBE) results for a relaxed Sr4Br3 crystal.

a b c (Å): 6.9396 6.9396 6.2942
angles (deg): 90.00 90.00 120.00
With the nearest neighbours (Å) after each atom.
Fractional coordinates of all 7 atoms:
Sr  0.0000  0.0000  0.2413  2 Sr 3.04-3.26
Sr  0.0000  0.0000  0.7587  2 Sr 3.04-3.26
Sr  0.6667  0.3333  0.5000  6 Br 3.73, 3 Sr 4.01
Sr  0.3333  0.6667  0.5000  6 Br 3.73, 3 Sr 4.01
Br  0.0000  0.5000  0.0000  4 Br 3.47, 8 Sr 3.73-3.79
Br  0.5000  0.5000  0.0000  4 Br 3.47, 8 Sr 3.73-3.79
Br  0.5000  0.0000  0.0000  4 Br 3.47, 8 Sr 3.73-3.79

=====

*A* has the most favorable energy; the next structure is 385 meV per atom above.